Here is a relaxed structure of Lu2ZnC from the Alexandria database. Energies are from PBE.

Calculated values
Space-group type   R-3m, No. 166
E_tot   -5.20 eV per atom
DFT formation energy   -1.2 eV per formula unit
Theoretical density   9.06 Mg/m³

Lattice parameters (Å, degrees): 3.5077 3.5077 7.6279 76.71 76.71 60.00
Fractional positions:
1 C 0.5000 0.5000 0.5000
2 Lu 0.2261 0.2261 0.3217
3 Lu 0.7739 0.7739 0.6783
4 Zn 0.0000 0.0000 0.0000

***

Here is a relaxed structure of Zn3Fe2 from the Alexandria database. Energies are from PBE.

Calculated values
Space-group type   P-3m1, No. 164
E_tot   -3.98 eV per atom
DFT formation energy   0.8 eV per formula unit
Offset from the most stable computed form   0.1661 eV/atom
Theoretical density   6.94 Mg/m³

Lattice parameters (Å, degrees): 4.1287 4.1287 4.9891 90.00 90.00 120.00
Fractional positions:
1 Zn 0.6667 0.3333 0.6187
2 Zn 0.0000 0.0000 0.0000
3 Zn 0.3333 0.6667 0.3813
4 Fe 0.6667 0.3333 0.1090
5 Fe 0.3333 0.6667 0.8910

***

Here is a relaxed structure of AlZnNi5 from the Alexandria database. Energies are from PBE.

Calculated values
Space-group type   C2/c, No. 15
E_tot   -4.93 eV per atom
DFT formation energy   -0.6 eV per formula unit
Offset from the most stable computed form   0.0000 eV/atom
Theoretical density   7.55 Mg/m³

Lattice parameters (Å, degrees): 4.7306 4.7306 8.9958 83.44 83.44 58.32
Fractional positions:
1 Ni 0.2824 0.1923 0.3117
2 Ni 0.3719 0.3175 0.0458
3 Ni 0.7891 0.2109 0.2500
4 Ni 0.2109 0.7891 0.7500
5 Ni 0.3175 0.3719 0.5458
6 Ni 0.8077 0.7176 0.1883
7 Ni 0.6825 0.6281 0.4542
8 Ni 0.1923 0.2824 0.8117
9 Ni 0.7176 0.8077 0.6883
10 Ni 0.6281 0.6825 0.9542
11 Al 0.7003 0.2997 0.7500
12 Al 0.2997 0.7003 0.2500
13 Zn 0.0000 0.0000 0.0000
14 Zn 0.0000 0.0000 0.5000

***

| no. | volume (Å³ per cell) |
| --- | --- |
| 1 | 78.36 |
| 2 | 73.65 |
| 3 | 169.83 |